# La2Nd2DyHo2, relaxed, DFT PBE
# ΔH_f (0 K) (meV/atom): 25
data_La2Nd2DyHo2
_cell_length_a 11.4658
_cell_length_b 5.1459
_cell_length_c 8.1676
_cell_angle_alpha 90.00
_cell_angle_beta 98.18
_cell_angle_gamma 90.00
_symmetry_space_group_name_H-M 'C 1 2/m 1'
_symmetry_Int_Tables_number 12
_symmetry_space_group_name_Hall '-C 2y'
loop_
_atom_site_label
_atom_site_type_symbol
_atom_site_fract_x
_atom_site_fract_y
_atom_site_fract_z
La1 La 0.1419 0.0000 0.4252
Nd1 Nd 0.2146 0.5000 0.1401
Dy1 Dy 0.0000 0.0000 0.0000
Ho1 Ho 0.0705 0.5000 0.7161